Entry 1:
Ba2Ga5Ge3 | PBE-GGA | optimized geometry

a b c (Å): 6.8248 9.1615 9.1615
angles (deg): 67.77 68.13 68.13
Last column: nearest neighbours and their distance in Å.
Fractional positions:
Ba: 0.1253 0.6252 0.1241  11 Ga 3.50-3.77, 7 Ge 3.51-3.81
Ba: 0.6253 0.1241 0.6252  11 Ga 3.50-3.77, 7 Ge 3.51-3.81
Ba: 0.8747 0.3748 0.8759  11 Ga 3.50-3.77, 7 Ge 3.51-3.81
Ba: 0.3747 0.8759 0.3748  11 Ga 3.50-3.77, 7 Ge 3.51-3.81
Ga: 0.3727 0.2469 0.0078  3 Ge 2.63-2.72, 2 Ga 2.69
Ga: 0.8727 0.0078 0.2469  3 Ge 2.63-2.72, 2 Ga 2.69
Ga: 0.6273 0.7531 0.9922  3 Ge 2.63-2.72, 2 Ga 2.69
Ga: 0.1273 0.9922 0.7531  3 Ge 2.63-2.72, 2 Ga 2.69
Ga: 0.5011 0.7489 0.7489  2 Ga 2.69, 2 Ge 2.72
Ga: 0.4989 0.2511 0.2511  2 Ga 2.69, 2 Ge 2.72
Ga: 0.7500 0.5000 0.5000  4 Ge 2.70
Ga: 0.2500 0.5000 0.5000  4 Ge 2.70
Ga: 0.9989 0.2511 0.2511  2 Ga 2.69, 2 Ge 2.72
Ga: 0.0011 0.7489 0.7489  2 Ga 2.69, 2 Ge 2.72
Ge: 0.3763 0.5009 0.7465  5 Ga 2.63-2.72
Ge: 0.8763 0.7465 0.5009  5 Ga 2.63-2.72
Ge: 0.6237 0.4991 0.2535  5 Ga 2.63-2.72
Ge: 0.1237 0.2535 0.4991  5 Ga 2.63-2.72
Ge: 0.2500 0.0000 0.0000  4 Ga 2.72
Ge: 0.7500 0.0000 0.0000  4 Ga 2.72

## Properties
magnetization	0.00	μB per cell
E_form	-0.378	eV per atom
mass density	5.90	g/cm³
VASP energy	-36.62	eV per formula unit

Entry 2:
SrMnSb4 | PBE-GGA | optimized geometry

a b c (Å): 6.3260 6.3260 6.3260
angles (deg): 60.00 60.00 60.00
Last column: nearest neighbours and their distance in Å.
Fractional positions:
Sr: 0.7500 0.7500 0.7500  12 Sb 3.71, 4 Mn 3.87
Mn: 0.0000 0.0000 0.0000  12 Sb 3.71, 4 Sr 3.87
Sb: 0.8785 0.3738 0.3738  6 Sb 3.13-3.19
Sb: 0.3738 0.3738 0.8785  6 Sb 3.13-3.19
Sb: 0.3738 0.8785 0.3738  6 Sb 3.13-3.19
Sb: 0.3738 0.3738 0.3738  6 Sb 3.13-3.19

## Properties
ΔE_f (raw)	0.139	eV/atom
magnetization	4.47	μB per cell
mass density	5.84	g/cm³
VASP energy	-26.51	eV per formula unit